Entry 1:
A plane-wave DFT calculation with GGA-PBE was carried out for DyErMg2Hg4 after structural relaxation.

Computed properties:
The space-group type is R-3m, No. 166. Its energy is -2.1494 eV/atom. The energy of formation from the pure elements comes out at -0.454 eV per atom. As for the spin magnetization: 0.000 μB/f.u. As for the volume: 22.888 Å³ per atom.

Unit cell a=5.055 b=5.055 c=8.774 alpha=73.26 beta=73.26 gamma=60.00
Positions (direct):
Dy1 0.000 0.000 0.000
Er1 0.500 0.500 0.500
Mg1 0.750 0.750 0.750
Mg2 0.250 0.250 0.250
Hg1 0.376 0.376 0.872
Hg2 0.875 0.875 0.376
Hg3 0.125 0.125 0.624
Hg4 0.624 0.624 0.128



Entry 2:
A plane-wave DFT calculation with GGA-PBE was carried out for DyEr2MgHg4 after structural relaxation.

Computed properties:
The space-group type is R-3m, No. 166. Its energy is -2.5251 eV/atom. The energy of formation from the pure elements comes out at -0.459 eV per atom. As for the spin magnetization: 0.000 μB/f.u. As for the volume: 24.252 Å³ per atom.

Unit cell a=5.130 b=5.130 c=9.013 alpha=73.47 beta=73.47 gamma=60.00
Positions (direct):
Dy1 0.000 0.000 0.000
Er1 0.754 0.754 0.737
Er2 0.246 0.246 0.263
Mg1 0.500 0.500 0.500
Hg1 0.374 0.374 0.877
Hg2 0.875 0.875 0.375
Hg3 0.125 0.125 0.625
Hg4 0.626 0.626 0.123



Entry 3:
A plane-wave DFT calculation with GGA-PBE was carried out for Dy2ErMgHg4 after structural relaxation.

Computed properties:
The space-group type is R-3m, No. 166. Its energy is -2.5413 eV/atom. The energy of formation from the pure elements comes out at -0.470 eV per atom. As for the spin magnetization: 0.000 μB/f.u. As for the volume: 24.394 Å³ per atom.

Unit cell a=5.143 b=5.143 c=9.021 alpha=73.44 beta=73.44 gamma=60.00
Positions (direct):
Dy1 0.754 0.754 0.737
Dy2 0.246 0.246 0.263
Er1 0.000 0.000 0.000
Mg1 0.500 0.500 0.500
Hg1 0.373 0.373 0.881
Hg2 0.876 0.876 0.373
Hg3 0.124 0.124 0.627
Hg4 0.627 0.627 0.119